#i
This record from the Alexandria database describes a PBEsol-optimized structure of SrTeCl2. The functional is SCAN.

a = 4.410 Å, b = 4.794 Å, c = 4.794 Å
α = 90.00°, β = 90.00°, γ = 90.00°
Element x y z (fractional)
Sr: 0.500 0.500 0.500
Te: 0.500 0.000 0.000
Cl: 0.000 0.000 0.500
Cl: 0.000 0.500 0.000

The value obtained for the total moment is 0.0 μB/f.u. The space-group type is P4/mmm, No. 123.



#ii
This record from the Alexandria database describes a PBEsol-optimized structure of SrTeCl2. The functional is SCAN.

a = 4.283 Å, b = 5.583 Å, c = 5.649 Å
α = 102.96°, β = 90.00°, γ = 90.00°
Each line ends with the local moment (μB).
Element x y z (fractional)
Sr: 0.500 0.000 0.500  0.01
Te: 0.500 0.500 0.000  0.91
Cl: 0.000 0.211 0.288  0.13
Cl: 0.000 0.789 0.712  0.13

The value obtained for the total moment is 2.0 μB/f.u. The space-group type is P2/m, No. 10.



Name the least stable of them. #i.